*P*
The following is a DFT calculation (GGA-PBE) of a relaxed Bi3BIr crystal.

Properties
- DOS(E_F): 5.847 states/eV/cell
- Crystal system: cubic
- Volume: 154.30 Å³/f.u.

```
data_Bi3BIr
_chemical_formula_sum 'Bi3 B1 Ir1'
_cell_length_a 5.3635
_cell_length_b 5.3635
_cell_length_c 5.3635
_cell_angle_alpha 90.00
_cell_angle_beta 90.00
_cell_angle_gamma 90.00
_symmetry_space_group_name_H-M 'P m -3 m'
_symmetry_Int_Tables_number 221
_symmetry_space_group_name_Hall '-P 4 2 3'
loop_
_atom_site_label
_atom_site_type_symbol
_atom_site_fract_x
_atom_site_fract_y
_atom_site_fract_z
Bi1 Bi 0.0000 0.0000 0.5000
B1 B 0.5000 0.5000 0.5000
Ir1 Ir 0.0000 0.0000 0.0000
```

***

*Q*
The following is a DFT calculation (GGA-PBE) of a relaxed Bi3BIr crystal.

Properties
- DOS(E_F): 3.390 states/eV/cell
- Crystal system: cubic
- Volume: 115.76 Å³/f.u.

```
data_Bi3BIr
_chemical_formula_sum 'Bi3 B1 Ir1'
_cell_length_a 4.8737
_cell_length_b 4.8737
_cell_length_c 4.8737
_cell_angle_alpha 90.00
_cell_angle_beta 90.00
_cell_angle_gamma 90.00
_symmetry_space_group_name_H-M 'P m -3 m'
_symmetry_Int_Tables_number 221
_symmetry_space_group_name_Hall '-P 4 2 3'
loop_
_atom_site_label
_atom_site_type_symbol
_atom_site_fract_x
_atom_site_fract_y
_atom_site_fract_z
Bi1 Bi 0.0000 0.0000 0.5000
B1 B 0.0000 0.0000 0.0000
Ir1 Ir 0.5000 0.5000 0.5000
```

***

Stability order, top to bottom: *Q*, *P*

***

*P*
The following is a DFT calculation (GGA-PBE) of a relaxed BiBIrPt2 crystal.

Properties
- DOS(E_F): 4.434 states/eV/cell
- Crystal system: tetragonal
- Volume: 111.11 Å³/f.u.

```
data_BiBIrPt2
_chemical_formula_sum 'Bi1 B1 Ir1 Pt2'
_cell_length_a 5.0497
_cell_length_b 5.0497
_cell_length_c 4.3573
_cell_angle_alpha 90.00
_cell_angle_beta 90.00
_cell_angle_gamma 90.00
_symmetry_space_group_name_H-M 'P 4/m m m'
_symmetry_Int_Tables_number 123
_symmetry_space_group_name_Hall '-P 4 2'
loop_
_atom_site_label
_atom_site_type_symbol
_atom_site_fract_x
_atom_site_fract_y
_atom_site_fract_z
Bi1 Bi 0.0000 0.0000 0.0000
B1 B 0.0000 0.0000 0.5000
Ir1 Ir 0.5000 0.5000 0.5000
Pt1 Pt 0.0000 0.5000 0.0000
```

***

*Q*
The following is a DFT calculation (GGA-PBE) of a relaxed BiBIrPt2 crystal.

Properties
- DOS(E_F): 3.040 states/eV/cell
- Crystal system: tetragonal
- Volume: 81.95 Å³/f.u.

```
data_BiBIrPt2
_chemical_formula_sum 'Bi1 B1 Ir1 Pt2'
_cell_length_a 4.4008
_cell_length_b 4.4008
_cell_length_c 4.2313
_cell_angle_alpha 90.00
_cell_angle_beta 90.00
_cell_angle_gamma 90.00
_symmetry_space_group_name_H-M 'P 4/m m m'
_symmetry_Int_Tables_number 123
_symmetry_space_group_name_Hall '-P 4 2'
loop_
_atom_site_label
_atom_site_type_symbol
_atom_site_fract_x
_atom_site_fract_y
_atom_site_fract_z
Bi1 Bi 0.0000 0.0000 0.0000
B1 B 0.5000 0.5000 0.5000
Ir1 Ir 0.5000 0.5000 0.0000
Pt1 Pt 0.0000 0.5000 0.5000
```

***

Stability order, top to bottom: *Q*, *P*

***

*P*
The following is a DFT calculation (GGA-PBE) of a relaxed ZnBi2BIr crystal.

Properties
- DOS(E_F): 1.813 states/eV/cell
- Crystal system: tetragonal
- Volume: 128.58 Å³/f.u.

```
data_ZnBi2BIr
_chemical_formula_sum 'Zn1 Bi2 B1 Ir1'
_cell_length_a 5.2601
_cell_length_b 5.2601
_cell_length_c 4.6472
_cell_angle_alpha 90.00
_cell_angle_beta 90.00
_cell_angle_gamma 90.00
_symmetry_space_group_name_H-M 'P 4/m m m'
_symmetry_Int_Tables_number 123
_symmetry_space_group_name_Hall '-P 4 2'
loop_
_atom_site_label
_atom_site_type_symbol
_atom_site_fract_x
_atom_site_fract_y
_atom_site_fract_z
Zn1 Zn 0.0000 0.0000 0.0000
Bi1 Bi 0.0000 0.5000 0.0000
B1 B 0.5000 0.5000 0.5000
Ir1 Ir 0.0000 0.0000 0.5000
```

***

*Q*
The following is a DFT calculation (GGA-PBE) of a relaxed ZnBi2BIr crystal.

Properties
- DOS(E_F): 3.081 states/eV/cell
- Crystal system: tetragonal
- Volume: 107.65 Å³/f.u.

```
data_ZnBi2BIr
_chemical_formula_sum 'Zn1 Bi2 B1 Ir1'
_cell_length_a 5.3804
_cell_length_b 5.3804
_cell_length_c 3.7186
_cell_angle_alpha 90.00
_cell_angle_beta 90.00
_cell_angle_gamma 90.00
_symmetry_space_group_name_H-M 'P 4/m m m'
_symmetry_Int_Tables_number 123
_symmetry_space_group_name_Hall '-P 4 2'
loop_
_atom_site_label
_atom_site_type_symbol
_atom_site_fract_x
_atom_site_fract_y
_atom_site_fract_z
Zn1 Zn 0.0000 0.0000 0.0000
Bi1 Bi 0.0000 0.5000 0.0000
B1 B 0.0000 0.0000 0.5000
Ir1 Ir 0.5000 0.5000 0.5000
```

***

Stability order, top to bottom: *Q*, *P*

***

*P*
The following is a DFT calculation (GGA-PBE) of a relaxed KBi3B crystal.

Properties
- DOS(E_F): 3.276 states/eV/cell
- Crystal system: cubic
- Volume: 147.37 Å³/f.u.

```
data_KBi3B
_chemical_formula_sum 'K1 Bi3 B1'
_cell_length_a 5.2821
_cell_length_b 5.2821
_cell_length_c 5.2821
_cell_angle_alpha 90.00
_cell_angle_beta 90.00
_cell_angle_gamma 90.00
_symmetry_space_group_name_H-M 'P m -3 m'
_symmetry_Int_Tables_number 221
_symmetry_space_group_name_Hall '-P 4 2 3'
loop_
_atom_site_label
_atom_site_type_symbol
_atom_site_fract_x
_atom_site_fract_y
_atom_site_fract_z
K1 K 0.0000 0.0000 0.0000
Bi1 Bi 0.0000 0.5000 0.5000
B1 B 0.5000 0.5000 0.5000
```

***

*Q*
The following is a DFT calculation (GGA-PBE) of a relaxed KBi3B crystal.

Properties
- DOS(E_F): 7.049 states/eV/cell
- Crystal system: cubic
- Volume: 211.05 Å³/f.u.

```
data_KBi3B
_chemical_formula_sum 'K1 Bi3 B1'
_cell_length_a 5.9539
_cell_length_b 5.9539
_cell_length_c 5.9539
_cell_angle_alpha 90.00
_cell_angle_beta 90.00
_cell_angle_gamma 90.00
_symmetry_space_group_name_H-M 'P m -3 m'
_symmetry_Int_Tables_number 221
_symmetry_space_group_name_Hall '-P 4 2 3'
loop_
_atom_site_label
_atom_site_type_symbol
_atom_site_fract_x
_atom_site_fract_y
_atom_site_fract_z
K1 K 0.0000 0.0000 0.0000
Bi1 Bi 0.0000 0.0000 0.5000
B1 B 0.5000 0.5000 0.5000
```

***

Stability order, top to bottom: *P*, *Q*

***

*P*
The following is a DFT calculation (GGA-PBE) of a relaxed K2BiB crystal.

Properties
- DOS(E_F): 9.086 states/eV/cell
- Crystal system: tetragonal
- Volume: 187.86 Å³/f.u.

```
data_K2BiB
_chemical_formula_sum 'K8 Bi4 B4'
_cell_length_a 12.4929
_cell_length_b 12.4929
_cell_length_c 4.8147
_cell_angle_alpha 90.00
_cell_angle_beta 90.00
_cell_angle_gamma 90.00
_symmetry_space_group_name_H-M 'I -4 2 d'
_symmetry_Int_Tables_number 122
_symmetry_space_group_name_Hall 'I -4 2bw'
loop_
_atom_site_label
_atom_site_type_symbol
_atom_site_fract_x
_atom_site_fract_y
_atom_site_fract_z
K1 K 0.0187 0.7500 0.1250
Bi1 Bi 0.0000 0.0000 0.5000
B1 B 0.0000 0.0000 0.0000
```

***

*Q*
The following is a DFT calculation (GGA-PBE) of a relaxed K2BiB crystal.

Properties
- DOS(E_F): 0.000 states/eV/cell
- Crystal system: cubic
- Volume: 131.13 Å³/f.u.

```
data_K2BiB
_chemical_formula_sum 'K8 Bi4 B4'
_cell_length_a 8.0648
_cell_length_b 8.0648
_cell_length_c 8.0648
_cell_angle_alpha 90.00
_cell_angle_beta 90.00
_cell_angle_gamma 90.00
_symmetry_space_group_name_H-M 'F m -3 m'
_symmetry_Int_Tables_number 225
_symmetry_space_group_name_Hall '-F 4 2 3'
loop_
_atom_site_label
_atom_site_type_symbol
_atom_site_fract_x
_atom_site_fract_y
_atom_site_fract_z
K1 K 0.2500 0.2500 0.2500
Bi1 Bi 0.0000 0.0000 0.0000
B1 B 0.0000 0.0000 0.5000
```

***

Stability order, top to bottom: *P*, *Q*

***

*P*
The following is a DFT calculation (GGA-PBE) of a relaxed La2BiB crystal.

Properties
- DOS(E_F): 27.321 states/eV/cell
- Crystal system: cubic
- Volume: 109.93 Å³/f.u.

```
data_La2BiB
_chemical_formula_sum 'La8 Bi4 B4'
_cell_length_a 7.6042
_cell_length_b 7.6042
_cell_length_c 7.6042
_cell_angle_alpha 90.00
_cell_angle_beta 90.00
_cell_angle_gamma 90.00
_symmetry_space_group_name_H-M 'F m -3 m'
_symmetry_Int_Tables_number 225
_symmetry_space_group_name_Hall '-F 4 2 3'
loop_
_atom_site_label
_atom_site_type_symbol
_atom_site_fract_x
_atom_site_fract_y
_atom_site_fract_z
La1 La 0.2500 0.2500 0.2500
Bi1 Bi 0.0000 0.0000 0.0000
B1 B 0.0000 0.0000 0.5000
```

***

*Q*
The following is a DFT calculation (GGA-PBE) of a relaxed La2BiB crystal.

Properties
- DOS(E_F): 14.358 states/eV/cell
- Crystal system: tetragonal
- Volume: 117.26 Å³/f.u.

```
data_La2BiB
_chemical_formula_sum 'La8 Bi4 B4'
_cell_length_a 7.9091
_cell_length_b 7.9091
_cell_length_c 7.4981
_cell_angle_alpha 90.00
_cell_angle_beta 90.00
_cell_angle_gamma 90.00
_symmetry_space_group_name_H-M 'I -4 2 d'
_symmetry_Int_Tables_number 122
_symmetry_space_group_name_Hall 'I -4 2bw'
loop_
_atom_site_label
_atom_site_type_symbol
_atom_site_fract_x
_atom_site_fract_y
_atom_site_fract_z
La1 La 0.1819 0.2500 0.1250
Bi1 Bi 0.0000 0.0000 0.5000
B1 B 0.0000 0.0000 0.0000
```

***

Stability order, top to bottom: *Q*, *P*

***

*P*
The following is a DFT calculation (GGA-PBE) of a relaxed Li3BiB crystal.

Properties
- DOS(E_F): 2.875 states/eV/cell
- Crystal system: cubic
- Volume: 83.61 Å³/f.u.

```
data_Li3BiB
_chemical_formula_sum 'Li3 Bi1 B1'
_cell_length_a 4.3727
_cell_length_b 4.3727
_cell_length_c 4.3727
_cell_angle_alpha 90.00
_cell_angle_beta 90.00
_cell_angle_gamma 90.00
_symmetry_space_group_name_H-M 'P m -3 m'
_symmetry_Int_Tables_number 221
_symmetry_space_group_name_Hall '-P 4 2 3'
loop_
_atom_site_label
_atom_site_type_symbol
_atom_site_fract_x
_atom_site_fract_y
_atom_site_fract_z
Li1 Li 0.0000 0.0000 0.5000
Bi1 Bi 0.5000 0.5000 0.5000
B1 B 0.0000 0.0000 0.0000
```

***

*Q*
The following is a DFT calculation (GGA-PBE) of a relaxed Li3BiB crystal.

Properties
- DOS(E_F): 2.265 states/eV/cell
- Crystal system: cubic
- Volume: 142.61 Å³/f.u.

```
data_Li3BiB
_chemical_formula_sum 'Li3 Bi1 B1'
_cell_length_a 5.2246
_cell_length_b 5.2246
_cell_length_c 5.2246
_cell_angle_alpha 90.00
_cell_angle_beta 90.00
_cell_angle_gamma 90.00
_symmetry_space_group_name_H-M 'P m -3 m'
_symmetry_Int_Tables_number 221
_symmetry_space_group_name_Hall '-P 4 2 3'
loop_
_atom_site_label
_atom_site_type_symbol
_atom_site_fract_x
_atom_site_fract_y
_atom_site_fract_z
Li1 Li 0.0000 0.0000 0.5000
Bi1 Bi 0.0000 0.0000 0.0000
B1 B 0.5000 0.5000 0.5000
```

***

Stability order, top to bottom: *P*, *Q*

***

*P*
The following is a DFT calculation (GGA-PBE) of a relaxed LiBiB2O5 crystal.

Properties
- DOS(E_F): 0.000 states/eV/cell
- Crystal system: monoclinic
- Volume: 89.40 Å³/f.u.

```
data_LiBiB2O5
_chemical_formula_sum 'Li2 Bi2 B4 O10'
_cell_length_a 5.3845
_cell_length_b 4.4004
_cell_length_c 7.5821
_cell_angle_alpha 90.00
_cell_angle_beta 95.56
_cell_angle_gamma 90.00
_symmetry_space_group_name_H-M 'P 1 21 1'
_symmetry_Int_Tables_number 4
_symmetry_space_group_name_Hall 'P 2yb'
loop_
_atom_site_label
_atom_site_type_symbol
_atom_site_fract_x
_atom_site_fract_y
_atom_site_fract_z
Li1 Li 0.1592 0.0000 0.1100
Bi1 Bi 0.1341 0.9730 0.7038
B1 B 0.3894 0.5316 0.9336
B2 B 0.4314 0.9754 0.4074
O1 O 0.1534 0.6579 0.9590
O2 O 0.1547 0.0004 0.3708
O3 O 0.4012 0.1967 0.9610
O4 O 0.4207 0.5942 0.7349
O5 O 0.4945 0.6435 0.4264
```

***

*Q*
The following is a DFT calculation (GGA-PBE) of a relaxed LiBiB2O5 crystal.

Properties
- DOS(E_F): 0.000 states/eV/cell
- Crystal system: orthorhombic
- Volume: 86.47 Å³/f.u.

```
data_LiBiB2O5
_chemical_formula_sum 'Li8 Bi8 B16 O40'
_cell_length_a 13.5029
_cell_length_b 4.4261
_cell_length_c 11.5742
_cell_angle_alpha 90.00
_cell_angle_beta 90.00
_cell_angle_gamma 90.00
_symmetry_space_group_name_H-M 'P n a 21'
_symmetry_Int_Tables_number 33
_symmetry_space_group_name_Hall 'P 2c -2n'
loop_
_atom_site_label
_atom_site_type_symbol
_atom_site_fract_x
_atom_site_fract_y
_atom_site_fract_z
Li1 Li 0.0953 0.2164 0.0000
Li2 Li 0.1536 0.7778 0.8318
Bi1 Bi 0.0258 0.3335 0.7336
Bi2 Bi 0.2214 0.7077 0.0975
B1 B 0.0180 0.3043 0.4675
B2 B 0.1075 0.7966 0.5474
B3 B 0.1400 0.2220 0.2886
B4 B 0.2316 0.7187 0.3671
O1 O 0.0336 0.6300 0.4837
O2 O 0.0359 0.2374 0.3427
O3 O 0.0813 0.1310 0.5483
O4 O 0.0893 0.7750 0.9900
O5 O 0.1197 0.7061 0.6678
O6 O 0.1266 0.3311 0.1679
O7 O 0.1615 0.2778 0.8458
O8 O 0.1670 0.8931 0.2856
O9 O 0.2117 0.7879 0.4924
O10 O 0.2134 0.3910 0.3527
```

***

*R*
The following is a DFT calculation (GGA-PBE) of a relaxed LiBiB2O5 crystal.

Properties
- DOS(E_F): 0.000 states/eV/cell
- Crystal system: monoclinic
- Volume: 125.97 Å³/f.u.

```
data_LiBiB2O5
_chemical_formula_sum 'Li4 Bi4 B8 O20'
_cell_length_a 6.9510
_cell_length_b 11.0222
_cell_length_c 6.9563
_cell_angle_alpha 90.00
_cell_angle_beta 109.01
_cell_angle_gamma 90.00
_symmetry_space_group_name_H-M 'P 1 21/c 1'
_symmetry_Int_Tables_number 14
_symmetry_space_group_name_Hall '-P 2ybc'
loop_
_atom_site_label
_atom_site_type_symbol
_atom_site_fract_x
_atom_site_fract_y
_atom_site_fract_z
Li1 Li 0.1986 0.0079 0.1270
Bi1 Bi 0.2469 0.6728 0.2697
B1 B 0.0820 0.0968 0.6881
B2 B 0.4621 0.0781 0.7678
O1 O 0.0638 0.0032 0.8140
O2 O 0.0843 0.6626 0.9266
O3 O 0.2723 0.1313 0.6800
O4 O 0.3702 0.6518 0.6468
O5 O 0.4980 0.5450 0.2716
```

***

Stability order, top to bottom: *R*, *Q*, *P*

***

*P*
The following is a DFT calculation (GGA-PBE) of a relaxed LiBiB2O5 crystal.

Properties
- DOS(E_F): 0.000 states/eV/cell
- Crystal system: monoclinic
- Volume: 125.70 Å³/f.u.

```
data_LiBiB2O5
_chemical_formula_sum 'Li8 Bi8 B16 O40'
_cell_length_a 11.3510
_cell_length_b 9.8158
_cell_length_c 10.3287
_cell_angle_alpha 90.00
_cell_angle_beta 119.10
_cell_angle_gamma 90.00
_symmetry_space_group_name_H-M 'C 1 2/c 1'
_symmetry_Int_Tables_number 15
_symmetry_space_group_name_Hall '-C 2yc'
loop_
_atom_site_label
_atom_site_type_symbol
_atom_site_fract_x
_atom_site_fract_y
_atom_site_fract_z
Li1 Li 0.1813 0.1642 0.1687
Bi1 Bi 0.0000 0.1432 0.7500
Bi2 Bi 0.0000 0.4698 0.2500
B1 B 0.0785 0.3417 0.5198
B2 B 0.2115 0.0101 0.4266
O1 O 0.0434 0.3253 0.1094
O2 O 0.1095 0.3182 0.6609
O3 O 0.1463 0.0249 0.2765
O4 O 0.1729 0.0845 0.9941
O5 O 0.1750 0.4047 0.4836
```

***

*Q*
The following is a DFT calculation (GGA-PBE) of a relaxed LiBiB2O5 crystal.

Properties
- DOS(E_F): 0.000 states/eV/cell
- Crystal system: monoclinic
- Volume: 109.16 Å³/f.u.

```
data_LiBiB2O5
_chemical_formula_sum 'Li2 Bi2 B4 O10'
_cell_length_a 6.2226
_cell_length_b 9.1715
_cell_length_c 3.8353
_cell_angle_alpha 90.00
_cell_angle_beta 94.10
_cell_angle_gamma 90.00
_symmetry_space_group_name_H-M 'C 1 2 1'
_symmetry_Int_Tables_number 5
_symmetry_space_group_name_Hall 'C 2y'
loop_
_atom_site_label
_atom_site_type_symbol
_atom_site_fract_x
_atom_site_fract_y
_atom_site_fract_z
Li1 Li 0.0000 0.0000 0.0000
Bi1 Bi 0.0000 0.6543 0.5000
B1 B 0.1830 0.2872 0.8995
O1 O 0.0000 0.3602 0.0000
O2 O 0.1776 0.8533 0.3136
O3 O 0.2340 0.1478 0.0146
```

***

Stability order, top to bottom: *Q*, *P*